VASP calculation (GGA-PBE) on Hf2IrOs after structural relaxation.

Unit cell a=5.8626 b=5.8626 c=5.8626 alpha=59.43 beta=151.51 gamma=129.03
Closest atoms and distances in Å follow each position.
Sites, in units of the cell vectors:
Hf 0.0000 0.2496 0.2496  1 Os 2.54, 1 Ir 2.55
Hf 0.0000 0.7504 0.7504  1 Os 2.54, 1 Ir 2.55
Ir 0.0000 0.5000 0.5000  2 Hf 2.55
Os 0.0000 0.0000 0.0000  2 Hf 2.54

## Properties
The value obtained for the energy of formation from the pure elements is 1.709 eV/f.u. Its crystal system is orthorhombic. As for the space-group type: No. 71.